# 1
Sn3Se | PBE | relaxed

N(E_F) in states/eV/f.u.: 1.437
Uncorrected formation energy in eV/atom: -0.16
Total energy in eV per atom: -4.03
Calculated volume in Å³/f.u.: 113.9

Cell and atoms, written as CIF:
```
data_Sn3Se
_chemical_formula_sum 'Sn3 Se1'
_space_group_name_H-M_alt 'P m m 2'
_space_group_IT_number 25
_cell_length_a 4.313
_cell_length_b 6.037
_cell_length_c 4.373
_cell_angle_alpha 90.00
_cell_angle_beta 90.00
_cell_angle_gamma 90.00
loop_
_space_group_symop_operation_xyz
'x,y,z'
'-x,-y,z'
'-x,y,z'
'x,-y,z'
loop_
_atom_site_label
_atom_site_type_symbol
_atom_site_fract_x
_atom_site_fract_y
_atom_site_fract_z
Sn1 Sn 0.000 0.000 0.000
Sn2 Sn 0.000 0.500 0.100
Sn3 Sn 0.500 0.000 0.513
Se1 Se 0.500 0.500 0.519
```

# 2
Sn2Se3 | PBE | relaxed

N(E_F) in states/eV/f.u.: 0.023
Uncorrected formation energy in eV/atom: -0.37
Total energy in eV per atom: -4.06
Calculated volume in Å³/f.u.: 151.3

Cell and atoms, written as CIF:
```
data_Sn2Se3
_chemical_formula_sum 'Sn8 Se12'
_space_group_name_H-M_alt 'P n m a'
_space_group_IT_number 62
_cell_length_a 15.484
_cell_length_b 3.981
_cell_length_c 9.816
_cell_angle_alpha 90.00
_cell_angle_beta 90.00
_cell_angle_gamma 90.00
loop_
_space_group_symop_operation_xyz
'x,y,z'
'-x,-y,-z'
'-x+1/2,-y,z+1/2'
'x+1/2,y,-z+1/2'
'x+1/2,-y+1/2,-z+1/2'
'-x+1/2,y+1/2,z+1/2'
'-x,y+1/2,-z'
'x,-y+1/2,z'
loop_
_atom_site_label
_atom_site_type_symbol
_atom_site_fract_x
_atom_site_fract_y
_atom_site_fract_z
Sn1 Sn 0.046 0.250 0.156
Sn2 Sn 0.144 0.750 0.467
Se1 Se 0.015 0.250 0.671
Se2 Se 0.106 0.750 0.983
Se3 Se 0.199 0.250 0.286
```

Q: Which of these has the highest uncorrected formation energy?
A: Sn3Se